Compound: BaY2ReO8
Source: Alexandria
Functional: PBE-GGA
Structure: optimized geometry

Cell: 5.2311 4.5547 7.1209 Å, 71.98 88.08 85.14°
Last column: nearest neighbours and their distance in Å.
Sites, in units of the cell vectors:
1 O 0.0204 0.6609 0.2402  1 Re 1.92
2 Re 0.0000 0.0000 0.0000  6 O 1.88-1.92
3 O 0.5060 0.7533 0.4899  2 Y 2.21-2.25, 2 O 2.27-2.29
4 Y 0.5095 0.3960 0.7821  5 O 2.21-2.46
5 Y 0.4905 0.6040 0.2179  5 O 2.21-2.46
6 O 0.2310 0.7708 0.8816  1 Re 1.88
7 O 0.4940 0.2467 0.5101  2 Y 2.21-2.25, 2 O 2.27-2.29
8 O 0.2894 0.1490 0.0896  1 Re 1.91
9 Ba 0.0000 0.0000 0.5000  10 O 2.75-3.02
10 O 0.7106 0.8510 0.9104  1 Re 1.91
11 O 0.7690 0.2292 0.1184  1 Re 1.88
12 O 0.9796 0.3391 0.7598  1 Re 1.92

Calculated values
D(E_F), states/eV/atom: 0.11
ΔE_f (raw), eV per formula unit: -29.4
M_tot, μB per cell: 0.22

---

Compound: BaYRe2O
Source: Alexandria
Functional: PBE-GGA
Structure: optimized geometry

Cell: 4.9833 5.9162 4.9833 Å, 90.00 90.00 90.00°
Last column: nearest neighbours and their distance in Å.
Sites, in units of the cell vectors:
1 Re 0.0000 0.0000 0.5000  2 Ba 2.49
2 Ba 0.0000 0.0000 0.0000  4 Re 2.49
3 Re 0.5000 0.0000 0.0000  2 Ba 2.49
4 O 0.5000 0.5000 0.5000  4 Y 3.52, 8 Re 3.87
5 Y 0.0000 0.5000 0.0000  2 Ba 2.96

Calculated values
D(E_F), states/eV/atom: 1.47
ΔE_f (raw), eV per formula unit: 15.6
M_tot, μB per cell: 3.58

---

Compound: BaYRe2O8
Source: Alexandria
Functional: PBE-GGA
Structure: optimized geometry

Cell: 5.9647 5.9647 7.5864 Å, 90.00 90.00 120.00°
Last column: nearest neighbours and their distance in Å.
Sites, in units of the cell vectors:
1 O 0.8347 0.1636 0.3037  1 Re 1.84
2 O 0.6667 0.3333 0.9908  1 Re 1.80
3 O 0.3289 0.1653 0.3037  1 Re 1.84
4 O 0.3333 0.6667 0.0092  1 Re 1.80
5 Re 0.3333 0.6667 0.7722  4 O 1.80-1.84
6 O 0.1636 0.3289 0.6963  1 Re 1.84
7 O 0.6711 0.8347 0.6963  1 Re 1.84
8 O 0.1653 0.8364 0.6963  1 Re 1.84
9 Ba 0.0000 0.0000 0.0000  6 O 2.86
10 O 0.8364 0.6711 0.3037  1 Re 1.84
11 Y 0.0000 0.0000 0.5000  6 O 2.26
12 Re 0.6667 0.3333 0.2278  4 O 1.80-1.84

Calculated values
D(E_F), states/eV/atom: 0.65
ΔE_f (raw), eV per formula unit: -25.0
M_tot, μB per cell: 3.01

---

Question: What is the D(E_F) in the first record?
Answer: 0.11 states/eV/atom

---

Question: Among the records above, which one has the highest ΔE_f (raw)?
Answer: BaYRe2O

---

Question: Which of these has the lowest D(E_F)?
Answer: BaY2ReO8

---

Question: What is the D(E_F) in the first record?
Answer: 0.11 states/eV/atom